Compound: Lu3ScC2S2
Source: OQMD
Functional: PBE
Structure: optimized geometry Values from VASP.

Computed properties:
The crystal system is trigonal. The calculation puts the total energy at -7.140 eV per atom. As for the space group: P3m1, No. 156. The theoretical density comes out at 7.99 g/cm³.

Structure (Quantum ESPRESSO input):
```
&SYSTEM
  ibrav = 0, nat = 8, ntyp = 4
/
ATOMIC_SPECIES
Lu 174.97 Lu.upf
C 12.01 C.upf
S 32.06 S.upf
Sc 44.96 Sc.upf
CELL_PARAMETERS angstrom
-1.252 0.320 -3.328
-2.207 -0.899 2.659
-2.401 11.980 2.056
ATOMIC_POSITIONS crystal
Lu 0.667 0.333 0.901
Lu 0.000 0.000 0.393
Lu 0.667 0.333 0.603
C 0.333 0.667 0.005
C 0.333 0.667 0.498
S 0.667 0.333 0.243
S 0.000 0.000 0.752
Sc 0.000 0.000 0.103
```